A relaxed Rb2CrF6 crystal. Source: Alexandria via LeMat-Bulk, functional PBE+U.

* SG: No. 225
* E: -4.926 eV/atom

abc: 6.1559 6.1559 6.1559
angles: 60.00 60.00 60.00
Each line ends with the local moment (μB).
Fractional positions:
F 0.2147 0.2147 0.7853  -0.04
Cr 0.0000 0.0000 0.0000  2.24
Rb 0.2500 0.2500 0.2500  0.00
F 0.7853 0.2147 0.2147  -0.04
F 0.7853 0.7853 0.2147  -0.04
Rb 0.7500 0.7500 0.7500  0.00
F 0.7853 0.2147 0.7853  -0.04
F 0.2147 0.7853 0.7853  -0.04
F 0.2147 0.7853 0.2147  -0.04